# 1
{
  "formula": "Li4MgRh",
  "functional": "GGA-PBE",
  "state": "optimized geometry",
  "mass_density_g_cm3": 2.7,
  "dft_energy_ev_per_atom": -2.902,
  "m_tot_mub_per_fu": 0.0,
  "de_polymorph_mev_per_atom": 0,
  "sg": "No. 12",
  "lattice_angstrom": [[4.461, 0.452, 0.000], [-0.556, 5.382, 0.000], [0.000, 0.000, 7.767]],
  "species": ["Mg", "Mg", "Li", "Li", "Li", "Li", "Li", "Li", "Li", "Li", "Rh", "Rh"],
  "frac_coords": [[0.000, 0.500, 0.000], [0.500, 0.500, 0.500], [0.501, 0.781, 0.166], [0.499, 0.219, 0.834], [0.000, 0.781, 0.667], [0.000, 0.219, 0.333], [0.001, 0.781, 0.334], [0.500, 0.219, 0.167], [0.999, 0.219, 0.666], [0.500, 0.781, 0.833], [0.500, 0.000, 0.500], [0.000, 0.000, 0.000]]
}



# 2
{
  "formula": "Li2MgRh2",
  "functional": "GGA-PBE",
  "state": "optimized geometry",
  "mass_density_g_cm3": 5.8,
  "dft_energy_ev_per_atom": -4.209,
  "m_tot_mub_per_fu": 0.0,
  "de_polymorph_mev_per_atom": 0,
  "sg": "No. 139",
  "lattice_angstrom": [[-1.669, 2.247, 1.057], [-2.446, -1.268, -1.167], [0.931, -4.475, 6.745]],
  "species": ["Li", "Li", "Rh", "Rh", "Mg"],
  "frac_coords": [[0.799, 0.799, 0.598], [0.201, 0.201, 0.402], [0.609, 0.609, 0.218], [0.391, 0.391, 0.782], [0.000, 0.000, 0.000]]
}